No. 1
Here is a relaxed SrMg6Pb4 crystal from Alexandria. Energies are from GGA-PBE.

Computed properties:
Calculated formation energy in eV per atom: -0.1507
E in eV/atom: -2.522
Spin magnetization in μB per formula unit: 0.0

abc: 4.5147 8.8193 8.8193
angles: 120.00 90.00 90.00
With the nearest neighbours (Å) after each atom.
Element x y z (fractional)
Sr: 0.0000 0.0000 0.0000  6 Pb 3.67, 6 Mg 3.82
Mg: 0.0000 0.5357 0.0715  5 Pb 3.09
Mg: 0.5000 0.5967 0.7983  4 Pb 2.99-3.02
Mg: 0.0000 0.5357 0.4643  5 Pb 3.09
Mg: 0.0000 0.9285 0.4643  5 Pb 3.09
Mg: 0.5000 0.2017 0.7983  4 Pb 2.99-3.02
Mg: 0.5000 0.2017 0.4033  4 Pb 2.99-3.02
Pb: 0.5000 0.8105 0.6210  6 Mg 2.99-3.09
Pb: 0.5000 0.3790 0.1895  6 Mg 2.99-3.09
Pb: 0.5000 0.8105 0.1895  6 Mg 2.99-3.09
Pb: 0.0000 0.3333 0.6667  9 Mg 3.02-3.09

No. 2
Here is a relaxed Ti3GaTe3 crystal from Alexandria. Energies are from GGA-PBE.

Computed properties:
E in eV/atom: -5.692
Spin magnetization in μB per formula unit: 0.0
ΔE_f (raw) in kJ/mol of formula units: -357

abc: 9.4150 9.4161 9.4159
angles: 109.47 109.47 109.47
With the nearest neighbours (Å) after each atom.
Element x y z (fractional)
Ti: 0.9799 0.4899 0.2399  2 Ga 2.61, 4 Te 2.77-2.83
Ti: 0.5101 0.0201 0.2601  2 Ga 2.61, 4 Te 2.77-2.83
Ti: 0.2500 0.0101 0.4899  2 Ga 2.61, 4 Te 2.77-2.83
Ti: 0.9899 0.7500 0.0101  2 Ga 2.61, 4 Te 2.77-2.83
Ti: 0.9899 0.2399 0.4799  2 Ga 2.61, 4 Te 2.77-2.83
Ti: 0.7601 0.0101 0.0201  2 Ga 2.61, 4 Te 2.77-2.83
Ti: 0.7399 0.4799 0.4899  2 Ga 2.61, 4 Te 2.77-2.83
Ti: 0.7601 0.7500 0.2399  2 Ga 2.61, 4 Te 2.77-2.83
Ti: 0.5201 0.2601 0.0101  2 Ga 2.61, 4 Te 2.77-2.83
Ti: 0.2500 0.2399 0.2601  2 Ga 2.61, 4 Te 2.77-2.83
Ti: 0.7399 0.2600 0.7500  2 Ga 2.61, 4 Te 2.77-2.83
Ti: 0.5101 0.4900 0.7500  2 Ga 2.61, 4 Te 2.77-2.83
Ga: 0.7500 0.5000 0.0000  6 Ti 2.61
Ga: 0.5000 0.2500 0.5000  6 Ti 2.61
Ga: 0.7500 0.2500 0.2500  6 Ti 2.61
Ga: 0.0000 0.0000 0.2500  6 Ti 2.61
Te: 0.2456 0.9956 0.9913  4 Ti 2.77-2.83
Te: 0.7500 0.7544 0.7456  4 Ti 2.77-2.83
Te: 0.4913 0.7456 0.9956  4 Ti 2.77-2.83
Te: 0.0044 0.2500 0.9956  4 Ti 2.77-2.83
Te: 0.2544 0.7456 0.2500  4 Ti 2.77-2.83
Te: 0.4956 0.5044 0.2500  4 Ti 2.77-2.83
Te: 0.2456 0.2500 0.7544  4 Ti 2.77-2.83
Te: 0.2544 0.5087 0.5044  4 Ti 2.77-2.83
Te: 0.7500 0.9956 0.5044  4 Ti 2.77-2.83
Te: 0.0087 0.5044 0.7544  4 Ti 2.77-2.83
Te: 0.0044 0.7544 0.5087  4 Ti 2.77-2.83
Te: 0.4956 0.9913 0.7456  4 Ti 2.77-2.83

No. 3
Here is a relaxed Cs2HfTaIr crystal from Alexandria. Energies are from GGA-PBE.

Computed properties:
Calculated formation energy in eV per atom: 2.3469
E in eV/atom: -4.128
Spin magnetization in μB per formula unit: 2.4

abc: 6.1773 5.1041 6.1773
angles: 90.00 90.00 90.00
With the nearest neighbours (Å) after each atom.
Element x y z (fractional)
Cs: 0.0000 0.0000 0.5000  2 Ta 3.09
Cs: 0.5000 0.0000 0.0000  2 Ta 3.09
Ir: 0.5000 0.5000 0.5000  8 Cs 4.01, 4 Hf 4.37
Hf: 0.0000 0.5000 0.0000  2 Ta 2.55
Ta: 0.0000 0.0000 0.0000  2 Hf 2.55

No. 4
Here is a relaxed ZnH3F crystal from Alexandria. Energies are from GGA-PBE.

Computed properties:
E in eV/atom: -3.272
Relative energy among the computed polymorphs in eV per atom: 0.0000
Spin magnetization in μB per formula unit: 0.0

abc: 6.8903 3.3378 6.9065
angles: 76.00 37.32 103.80
With the nearest neighbours (Å) after each atom.
Element x y z (fractional)
H: 0.3350 0.8865 0.0033  1 H 0.75
H: 0.4683 0.8252 0.8717  1 H 0.75
H: 0.7212 0.8586 0.2522  2 Zn 1.69
Zn: 0.1555 0.3581 0.6884  2 H 1.69
F: 0.0745 0.8572 0.6104  2 Zn 1.97

No. 5
Here is a relaxed LiScIn crystal from Alexandria. Energies are from GGA-PBE.

Computed properties:
Calculated formation energy in eV per atom: -0.1867
E in eV/atom: -3.848
Spin magnetization in μB per formula unit: 0.2

abc: 5.2344 5.2344 5.2344
angles: 145.11 127.66 64.45
With the nearest neighbours (Å) after each atom.
Element x y z (fractional)
In: 0.0039 0.0039 0.0000  5 Li 2.93-3.17, 5 Sc 3.04-3.12, 2 In 3.14
Li: 0.3353 0.3353 0.0000  5 Sc 2.88-3.19, 5 In 2.93-3.17, 2 Li 3.14
Sc: 0.6608 0.6608 0.0000  5 Li 2.88-3.19, 5 In 3.04-3.12, 2 Sc 3.14

No. 6
Here is a relaxed Mg2Pd6Pt crystal from Alexandria. Energies are from GGA-PBE.

Computed properties:
Calculated formation energy in eV per atom: -0.2780
E in eV/atom: -4.765
Relative energy among the computed polymorphs in eV per atom: 0.1749
Spin magnetization in μB per formula unit: 0.0

abc: 7.0111 4.8962 4.8962
angles: 67.22 77.29 77.29
With the nearest neighbours (Å) after each atom.
Element x y z (fractional)
Mg: 0.9115 0.6789 0.6789  7 Pd 2.71-2.95, 1 Pt 2.85, 1 Mg 2.85
Mg: 0.0885 0.3211 0.3211  7 Pd 2.71-2.95, 1 Pt 2.85, 1 Mg 2.85
Pd: 0.2964 0.3061 0.7894  1 Pt 2.62, 7 Pd 2.62-2.85, 1 Mg 2.71
Pd: 0.4910 0.7560 0.7560  10 Pd 2.71-2.85, 1 Mg 2.85
Pd: 0.2964 0.7894 0.3061  1 Pt 2.62, 7 Pd 2.62-2.85, 1 Mg 2.71
Pd: 0.7036 0.6939 0.2106  1 Pt 2.62, 7 Pd 2.62-2.85, 1 Mg 2.71
Pd: 0.5090 0.2440 0.2440  10 Pd 2.71-2.85, 1 Mg 2.85
Pd: 0.7036 0.2106 0.6939  1 Pt 2.62, 7 Pd 2.62-2.85, 1 Mg 2.71
Pt: 0.0000 0.0000 0.0000  4 Pd 2.62, 2 Mg 2.85

No. 7
Here is a relaxed Ga2Ni3Rh crystal from Alexandria. Energies are from GGA-PBE.

Computed properties:
Calculated formation energy in eV per atom: -0.3635
E in eV/atom: -5.488
Spin magnetization in μB per formula unit: 0.0

abc: 3.8684 5.2679 7.4119
angles: 90.00 90.00 90.00
With the nearest neighbours (Å) after each atom.
Element x y z (fractional)
Ga: 0.5000 0.6941 0.8552  8 Ni 2.39-2.65, 1 Rh 2.54
Ga: 0.5000 0.1941 0.1448  8 Ni 2.39-2.65, 1 Rh 2.54
Ga: 0.0000 0.3025 0.6546  5 Ni 2.42-2.55, 2 Rh 2.50
Ga: 0.0000 0.8025 0.3454  5 Ni 2.42-2.55, 2 Rh 2.50
Ni: 0.0000 0.4522 0.9821  5 Ga 2.50-2.65, 7 Ni 2.53-2.72
Ni: 0.0000 0.9522 0.0179  5 Ga 2.50-2.65, 7 Ni 2.53-2.72
Ni: 0.5000 0.6650 0.1763  4 Ga 2.39-2.49, 2 Ni 2.66
Ni: 0.5000 0.1650 0.8237  4 Ga 2.39-2.49, 2 Ni 2.66
Ni: 0.0000 0.3390 0.3141  4 Ga 2.43-2.53, 1 Ni 2.53
Ni: 0.0000 0.8390 0.6859  4 Ga 2.43-2.53, 1 Ni 2.53
Rh: 0.5000 0.5472 0.5290  5 Ga 2.50-2.72, 2 Rh 2.67, 5 Ni 2.69-2.74
Rh: 0.5000 0.0472 0.4710  5 Ga 2.50-2.72, 2 Rh 2.67, 5 Ni 2.69-2.74

No. 8
Here is a relaxed YCr2Ir crystal from Alexandria. Energies are from GGA-PBE.

Computed properties:
Calculated formation energy in eV per atom: 0.2342
E in eV/atom: -8.409
Relative energy among the computed polymorphs in eV per atom: 0.1492
Spin magnetization in μB per formula unit: 7.5

abc: 4.0690 4.0631 4.3138
angles: 90.00 90.00 90.00
With the nearest neighbours (Å) after each atom.
Element x y z (fractional)
Cr: 0.0000 0.0000 0.0000  4 Cr 2.88, 4 Y 2.96, 4 Ir 2.97
Cr: 0.5000 0.5000 0.0000  4 Cr 2.88, 4 Ir 2.96, 4 Y 2.97
Ir: 0.5000 0.0000 0.5000  4 Y 2.88, 8 Cr 2.96-2.97
Y: 0.0000 0.5000 0.5000  4 Ir 2.88, 8 Cr 2.96-2.97

No. 9
Here is a relaxed Rb2HfInTe4 crystal from Alexandria. Energies are from GGA-PBE.

Computed properties:
E in eV/atom: -4.134
Spin magnetization in μB per formula unit: 0.0
ΔE_f (raw) in kJ/mol of formula units: -567

abc: 7.4418 8.4609 13.4118
angles: 82.99 73.89 63.91
With the nearest neighbours (Å) after each atom.
Element x y z (fractional)
Rb: 0.1826 0.0000 0.6348  6 Te 3.93-4.18
Rb: 0.8174 0.0000 0.3652  6 Te 3.93-4.18
Rb: 0.5674 0.5000 0.8652  6 Te 3.93-4.18
Rb: 0.9326 0.5000 0.1348  6 Te 3.93-4.18
Hf: 0.7500 0.5000 0.5000  4 Te 2.74
Hf: 0.0000 0.0000 0.0000  4 Te 2.74
In: 0.2500 0.5000 0.5000  4 Te 2.99
In: 0.5000 0.0000 0.0000  4 Te 2.99
Te: 0.2693 0.7926 0.1166  1 Hf 2.74, 1 In 2.99
Te: 0.1785 0.2074 0.8834  1 Hf 2.74, 1 In 2.99
Te: 0.9381 0.7926 0.8834  1 Hf 2.74, 1 In 2.99
Te: 0.6140 0.2074 0.1166  1 Hf 2.74, 1 In 2.99
Te: 0.4807 0.7074 0.3834  1 Hf 2.74, 1 In 2.99
Te: 0.5715 0.2926 0.6166  1 Hf 2.74, 1 In 2.99
Te: 0.8119 0.7074 0.6166  1 Hf 2.74, 1 In 2.99
Te: 0.1360 0.2926 0.3834  1 Hf 2.74, 1 In 2.99

No. 10
Here is a relaxed Tb6TlPd crystal from Alexandria. Energies are from GGA-PBE.

Computed properties:
Calculated formation energy in eV per atom: -0.0618
E in eV/atom: -4.479
Spin magnetization in μB per formula unit: 0.0

abc: 6.8264 6.8264 6.8262
angles: 102.97 102.97 118.79
With the nearest neighbours (Å) after each atom.
Element x y z (fractional)
Tb: 0.2694 0.2694 0.7257  1 Pd 2.67
Tb: 0.4805 0.0748 0.2573  1 Pd 2.93, 1 Tl 3.08
Tb: 0.7306 0.7306 0.2743  1 Pd 2.67
Tb: 0.9252 0.5195 0.7427  1 Pd 2.93, 1 Tl 3.08
Tb: 0.5195 0.9252 0.7427  1 Pd 2.93, 1 Tl 3.08
Tb: 0.0748 0.4805 0.2573  1 Pd 2.93, 1 Tl 3.08
Tl: 0.0000 0.0000 0.0000  6 Tb 3.08-3.18
Pd: 0.5000 0.5000 0.5000  6 Tb 2.67-2.93

No. 11
Here is a relaxed SnBSb2Te crystal from Alexandria. Energies are from GGA-PBE.

Computed properties:
E in eV/atom: -3.805
Relative energy among the computed polymorphs in eV per atom: 0.0000
Spin magnetization in μB per formula unit: 0.0
ΔE_f (raw) in kJ/mol of formula units: 293

abc: 4.9416 4.9416 4.9359
angles: 90.00 90.00 90.00
With the nearest neighbours (Å) after each atom.
Element x y z (fractional)
Sb: 0.0000 0.5000 0.0000  2 B 2.47
Sb: 0.5000 0.0000 0.0000  2 B 2.47
B: 0.0000 0.0000 0.0000  2 Te 2.47, 4 Sb 2.47
Te: 0.0000 0.0000 0.5000  2 B 2.47
Sn: 0.5000 0.5000 0.5000  8 Sb 3.49, 4 Te 3.49

No. 12
Here is a relaxed Li2LaPrAg2 crystal from Alexandria. Energies are from GGA-PBE.

Computed properties:
Calculated formation energy in eV per atom: -0.1469
E in eV/atom: -3.353
Spin magnetization in μB per formula unit: 0.0

abc: 4.8725 4.8725 7.0335
angles: 90.00 90.00 120.00
With the nearest neighbours (Å) after each atom.
Element x y z (fractional)
Li: 0.3333 0.6667 0.7379  3 Ag 2.81
Li: 0.6667 0.3333 0.2621  3 Ag 2.81
La: 0.0000 0.0000 0.0000  6 Ag 3.35, 6 Li 3.36, 2 Pr 3.52
Pr: 0.0000 0.0000 0.5000  6 Li 3.27, 6 Ag 3.29, 2 La 3.52
Ag: 0.3333 0.6667 0.2576  3 Li 2.81
Ag: 0.6667 0.3333 0.7424  3 Li 2.81

No. 13
Here is a relaxed TbAg4Rh crystal from Alexandria. Energies are from GGA-PBE.

Computed properties:
Calculated formation energy in eV per atom: -0.0773
E in eV/atom: -3.975
Spin magnetization in μB per formula unit: 0.0

abc: 5.4512 5.4512 5.4512
angles: 60.00 60.00 60.00
With the nearest neighbours (Å) after each atom.
Element x y z (fractional)
Rh: 0.2500 0.2500 0.2500  12 Ag 3.19, 4 Tb 3.34
Tb: 0.0000 0.0000 0.0000  12 Ag 3.20, 4 Rh 3.34
Ag: 0.6245 0.6245 0.1265  6 Ag 2.71-2.74
Ag: 0.6245 0.1265 0.6245  6 Ag 2.71-2.74
Ag: 0.6245 0.6245 0.6245  6 Ag 2.71-2.74
Ag: 0.1265 0.6245 0.6245  6 Ag 2.71-2.74

No. 14
Here is a relaxed LiCa2UN4 crystal from Alexandria. Energies are from GGA-PBE.

Computed properties:
E in eV/atom: -7.354
Spin magnetization in μB per formula unit: 0.6
ΔE_f (raw) in kJ/mol of formula units: -804

abc: 4.6457 4.6457 6.1766
angles: 112.09 112.09 90.01
With the nearest neighbours (Å) after each atom.
Element x y z (fractional)
Li: 0.4370 0.4370 0.0000  4 N 2.32
Ca: 0.1872 0.6872 0.5000  6 N 2.40-2.62
Ca: 0.6872 0.1872 0.5000  6 N 2.40-2.62
U: 0.9372 0.9372 0.0000  2 N 2.00
N: 0.9372 0.4372 0.0000  2 Li 2.32, 2 U 2.32
N: 0.4372 0.9372 0.0000  2 Li 2.32, 2 U 2.32
N: 0.1287 0.1287 0.3829  1 U 2.00
N: 0.7457 0.7457 0.6171  1 U 2.00

No. 15
Here is a relaxed NaTb2PrSe4 crystal from Alexandria. Energies are from GGA-PBE.

Computed properties:
E in eV/atom: -5.420
Spin magnetization in μB per formula unit: 0.0
ΔE_f (raw) in kJ/mol of formula units: -1357

abc: 4.1339 7.2726 7.2311
angles: 71.08 90.00 90.00
With the nearest neighbours (Å) after each atom.
Element x y z (fractional)
Na: 0.0000 0.5000 0.5000  6 Se 2.97-2.99
Tb: 0.0000 0.0000 0.0000  6 Se 2.91-2.94
Tb: 0.5000 0.0000 0.5000  6 Se 2.90
Pr: 0.5000 0.5000 0.0000  6 Se 3.01
Se: 0.0000 0.7605 0.7417  3 Tb 2.90-2.94, 1 Na 2.97, 2 Pr 3.01
Se: 0.0000 0.2395 0.2583  3 Tb 2.90-2.94, 1 Na 2.97, 2 Pr 3.01
Se: 0.5000 0.7611 0.2482  3 Tb 2.90-2.91, 2 Na 2.99, 1 Pr 3.01
Se: 0.5000 0.2389 0.7518  3 Tb 2.90-2.91, 2 Na 2.99, 1 Pr 3.01

No. 16
Here is a relaxed Zr2MnFe crystal from Alexandria. Energies are from GGA-PBE.

Computed properties:
Calculated formation energy in eV per atom: -0.1006
E in eV/atom: -8.783
Relative energy among the computed polymorphs in eV per atom: 0.0085
Spin magnetization in μB per formula unit: 0.5

abc: 4.4996 4.4996 4.4996
angles: 60.00 60.00 60.00
With the nearest neighbours (Å) after each atom.
Element x y z (fractional)
Mn: 0.0000 0.0000 0.0000  8 Zr 2.76
Fe: 0.5000 0.5000 0.5000  8 Zr 2.76
Zr: 0.2500 0.2500 0.2500  4 Mn 2.76, 4 Fe 2.76
Zr: 0.7500 0.7500 0.7500  4 Mn 2.76, 4 Fe 2.76

No. 17
Here is a relaxed LiPrLuMn crystal from Alexandria. Energies are from GGA-PBE.

Computed properties:
Calculated formation energy in eV per atom: 0.1450
E in eV/atom: -4.951
Spin magnetization in μB per formula unit: 2.5

abc: 5.0891 5.0891 5.0891
angles: 60.00 60.00 60.00
With the nearest neighbours (Å) after each atom.
Element x y z (fractional)
Pr: 0.0000 0.0000 0.0000  4 Mn 3.12, 4 Li 3.12
Lu: 0.5000 0.5000 0.5000  4 Li 3.12, 4 Mn 3.12
Mn: 0.2500 0.2500 0.2500  4 Lu 3.12, 4 Pr 3.12
Li: 0.7500 0.7500 0.7500  4 Pr 3.12, 4 Lu 3.12